[1]
This record from the Alexandria database describes a relaxed structure of TlV2GeAu. The functional is GGA-PBE.

```
TlV2GeAu
1.0
-1.5280 -3.0033 3.9132
-3.4092 -1.8595 -2.7583
3.2668 -3.6856 -1.5530
V Au Tl Ge
2 1 1 1
Direct
0.0000 0.0000 0.5000 V
0.5000 0.0000 0.0000 V
0.0000 0.0000 0.0000 Au
0.5000 0.5000 0.5000 Tl
0.0000 0.5000 0.0000 Ge
```

Summary:
Symmetry: P4/mmm
E_tot: -4.71 eV per atom
Total moment: 1.348 μB per atom
Theoretical density: 7.53 g cm⁻³
DOS(E_F): 1.752 states/eV per atom
Volume: 127 Å³ per cell

[2]
This record from the Alexandria database describes a relaxed structure of LaC2Cl. The functional is GGA-PBE.

```
LaC2Cl
1.0
3.8373 0.0000 0.0000
0.0000 3.8373 0.0000
1.9187 1.9187 9.1985
C Cl La
4 2 2
Direct
0.3750 0.6250 0.2500 C
0.3750 0.1250 0.2500 C
0.8750 0.6250 0.7500 C
0.3750 0.6250 0.7500 C
0.5000 0.5000 0.0000 Cl
0.2500 0.7500 0.5000 Cl
0.0000 0.0000 0.0000 La
0.7500 0.2500 0.5000 La
```

Summary:
Symmetry: I4_1/amd
Energy relative to the elements, uncorrected: 1.281 eV per atom
E_tot: -5.02 eV per atom
Total moment: 0.000 μB per atom
Energy relative to the lowest polymorph listed for this composition: 0.00 eV/f.u.
Theoretical density: 4.86 g cm⁻³
DOS(E_F): 0.506 states/eV per atom
Volume: 135 Å³ per cell

[3]
This record from the Alexandria database describes a relaxed structure of VSbRh. The functional is GGA-PBE.

```
VSbRh
1.0
-2.8725 0.1076 -0.3156
-0.2309 -2.6166 1.2095
0.9596 4.2741 5.9727
V Rh Sb
1 1 1
Direct
0.1179 0.1179 0.2358 V
0.9680 0.9680 0.9361 Rh
0.7641 0.7641 0.5281 Sb
```

Summary:
Symmetry: I4mm
Energy relative to the elements, uncorrected: 0.472 eV per atom
E_tot: -6.39 eV per atom
Total moment: 0.000 μB per atom
Theoretical density: 7.69 g cm⁻³
DOS(E_F): 1.024 states/eV per atom
Volume: 60 Å³ per cell

[4]
This record from the Alexandria database describes a relaxed structure of CaInTe2I. The functional is GGA-PBE.

```
CaInTe2I
1.0
5.7020 0.0000 0.0000
0.0000 5.7020 0.0000
0.0000 0.0000 5.8942
I Te Ca In
1 2 1 1
Direct
0.0000 0.0000 0.5000 I
0.0000 0.5000 0.0000 Te
0.5000 0.0000 0.0000 Te
0.5000 0.5000 0.5000 Ca
0.0000 0.0000 0.0000 In
```

Summary:
Symmetry: P4/mmm
Energy relative to the elements, uncorrected: -0.374 eV per atom
E_tot: -2.89 eV per atom
Total moment: 0.000 μB per atom
Energy relative to the lowest polymorph listed for this composition: 0.00 eV/f.u.
Theoretical density: 4.65 g cm⁻³
DOS(E_F): 0.224 states/eV per atom
Volume: 192 Å³ per cell